## Cd6AgAu3 (GGA-PBE)

Data for Cd6AgAu3 after structural relaxation.

a = 4.860 Å, b = 8.156 Å, c = 10.919 Å
α = 113.63°, β = 90.00°, γ = 90.00°
Element x y z (fractional)
Cd (0.750, 0.839, 0.836)
Cd (0.250, 0.075, 0.865)
Cd (0.750, 0.532, 0.928)
Cd (0.250, 0.468, 0.072)
Au (0.250, 0.772, 0.971)
Cd (0.250, 0.262, 0.479)
Cd (0.250, 0.161, 0.164)
Au (0.250, 0.554, 0.370)
Au (0.750, 0.446, 0.630)
Ag (0.750, 0.036, 0.429)
Cd (0.750, 0.337, 0.331)
Au (0.750, 0.228, 0.029)
Cd (0.750, 0.738, 0.521)
Cd (0.250, 0.855, 0.280)
Cd (0.750, 0.145, 0.720)
Cd (0.250, 0.663, 0.669)
Ag (0.250, 0.964, 0.571)
Cd (0.750, 0.925, 0.135)
Au (0.750, 0.627, 0.227)
Au (0.250, 0.373, 0.773)

* DFT formation energy: -133 meV per atom
* magnetic moment: 0.0 μB/f.u.
* uncorrected energy: -1.95 eV per atom
* SG: P2_1/m



## CdAg2Au6 (GGA-PBE)

Data for CdAg2Au6 after structural relaxation.

a = 4.290 Å, b = 8.745 Å, c = 8.745 Å
α = 90.00°, β = 90.00°, γ = 90.00°
Element x y z (fractional)
Au (0.000, 0.998, 0.833)
Au (0.500, 0.833, 0.002)
Au (0.000, 0.002, 0.167)
Cd (0.500, 0.500, 0.000)
Au (0.000, 0.335, 0.165)
Ag (0.000, 0.669, 0.169)
Ag (0.000, 0.331, 0.831)
Au (0.500, 0.502, 0.333)
Au (0.500, 0.498, 0.667)
Au (0.000, 0.665, 0.835)
Ag (0.500, 0.831, 0.669)
Au (0.500, 0.165, 0.665)
Au (0.500, 0.835, 0.335)
Cd (0.000, 0.000, 0.500)
Au (0.500, 0.167, 0.998)
Ag (0.500, 0.169, 0.331)
Au (0.000, 0.667, 0.502)
Au (0.000, 0.333, 0.498)

* DFT formation energy: -71 meV per atom
* magnetic moment: 0.0 μB/f.u.
* uncorrected energy: -2.99 eV per atom
* SG: P4_2/mnm



## Cd7Ag12Au (GGA-PBE)

Data for Cd7Ag12Au after structural relaxation.

a = 7.824 Å, b = 7.824 Å, c = 7.824 Å
α = 107.42°, β = 107.42°, γ = 107.42°
Element x y z (fractional)
Cd (0.674, 0.974, 0.100)
Ag (0.419, 0.030, 0.311)
Ag (0.689, 0.581, 0.970)
Ag (0.635, 0.765, 0.339)
Ag (0.235, 0.661, 0.365)
Cd (0.974, 0.100, 0.674)
Ag (0.311, 0.419, 0.030)
Au (0.000, 0.000, 0.000)
Cd (0.500, 0.500, 0.500)
Ag (0.365, 0.235, 0.661)
Ag (0.661, 0.365, 0.235)
Ag (0.970, 0.689, 0.581)
Cd (0.326, 0.026, 0.900)
Ag (0.339, 0.635, 0.765)
Ag (0.581, 0.970, 0.689)
Ag (0.030, 0.311, 0.419)
Cd (0.026, 0.900, 0.326)
Ag (0.765, 0.339, 0.635)
Cd (0.900, 0.326, 0.026)
Cd (0.100, 0.674, 0.974)

* DFT formation energy: 10 meV per atom
* magnetic moment: 0.0 μB/f.u.
* uncorrected energy: -2.18 eV per atom
* SG: R-3



## CsCd2AgAu (GGA-PBE)

Data for CsCd2AgAu after structural relaxation.

a = 5.414 Å, b = 5.414 Å, c = 5.570 Å
α = 90.00°, β = 90.00°, γ = 90.00°
Element x y z (fractional)
Cd (0.000, 0.500, 0.000)
Cs (0.500, 0.500, 0.500)
Ag (0.000, 0.000, 0.500)
Au (0.000, 0.000, 0.000)
Cd (0.500, 0.000, 0.000)

* DFT formation energy: -56 meV per atom
* magnetic moment: 0.0 μB/f.u.
* uncorrected energy: -1.82 eV per atom
* SG: P4/mmm



- What is the uncorrected energy in the first record?
  -1.95 eV per atom



- What is the formula in the third record?
  Cd7Ag12Au



What did the second record say?
## CdAg2Au6 (GGA-PBE)

Data for CdAg2Au6 after structural relaxation.

a = 4.290 Å, b = 8.745 Å, c = 8.745 Å
α = 90.00°, β = 90.00°, γ = 90.00°
Element x y z (fractional)
Au (0.000, 0.998, 0.833)
Au (0.500, 0.833, 0.002)
Au (0.000, 0.002, 0.167)
Cd (0.500, 0.500, 0.000)
Au (0.000, 0.335, 0.165)
Ag (0.000, 0.669, 0.169)
Ag (0.000, 0.331, 0.831)
Au (0.500, 0.502, 0.333)
Au (0.500, 0.498, 0.667)
Au (0.000, 0.665, 0.835)
Ag (0.500, 0.831, 0.669)
Au (0.500, 0.165, 0.665)
Au (0.500, 0.835, 0.335)
Cd (0.000, 0.000, 0.500)
Au (0.500, 0.167, 0.998)
Ag (0.500, 0.169, 0.331)
Au (0.000, 0.667, 0.502)
Au (0.000, 0.333, 0.498)

* DFT formation energy: -71 meV per atom
* magnetic moment: 0.0 μB/f.u.
* uncorrected energy: -2.99 eV per atom
* SG: P4_2/mnm



- The highest DFT formation energy belongs to which entry?
  Cd7Ag12Au